## LaFe2ClO (GGA+U)

Data for LaFe2ClO after structural relaxation.

a b c (Å): 4.0416 6.2264 4.0416
angles (deg): 90.00 90.00 90.00
Closest atoms and distances in Å follow each position.
Element x y z (fractional)
O 0.0000 0.5000 0.0000  4 La 2.86, 2 Cl 3.11
Fe 0.5000 0.0000 0.0000  2 Cl 2.02
Fe 0.0000 0.0000 0.5000  2 Cl 2.02
Cl 0.0000 0.0000 0.0000  4 Fe 2.02
La 0.5000 0.5000 0.5000  4 O 2.86

Space group ... No. 123
VASP energy ... -21.3 eV/cell